Here is a relaxed K2SrCoF6 crystal from Alexandria via LeMat-Bulk. Energies are from GGA+U.

abc: 6.1013 6.4996 8.8101
angles: 90.00 90.00 90.00
Closest atoms and distances in Å follow each position.
Sites, in units of the cell vectors:
Sr (0.0000, 0.7165, 0.5000)  6 F 2.37-2.41
Sr (0.5000, 0.2835, 0.0000)  6 F 2.37-2.41
F (0.5000, 0.2191, 0.7333)  1 Co 2.06
F (0.7488, 0.4375, 0.5000)  1 Co 2.05
F (0.5000, 0.2191, 0.2667)  1 Co 2.06
F (0.7634, 0.0076, 0.0000)  1 Co 2.09
F (0.7512, 0.5625, 0.0000)  1 Co 2.05
F (0.0000, 0.7809, 0.2333)  1 Co 2.06
F (0.2512, 0.4375, 0.5000)  1 Co 2.05
F (0.2488, 0.5625, 0.0000)  1 Co 2.05
F (0.0000, 0.7809, 0.7667)  1 Co 2.06
F (0.7366, 0.9924, 0.5000)  1 Co 2.09
F (0.2366, 0.0076, 0.0000)  1 Co 2.09
F (0.2634, 0.9924, 0.5000)  1 Co 2.09
K (0.5000, 0.7975, 0.2231)  7 F 2.77-3.05
K (0.0000, 0.2025, 0.2769)  7 F 2.77-3.05
K (0.5000, 0.7975, 0.7769)  7 F 2.77-3.05
K (0.0000, 0.2025, 0.7231)  7 F 2.77-3.05
Co (0.0000, 0.7756, 0.0000)  6 F 2.05-2.09
Co (0.5000, 0.2244, 0.5000)  6 F 2.05-2.09

DFT total energy   -4.928 eV/atom
Volume   349.37 Å³/cell
Spin magnetization   6.00 μB per cell